DFT (meta-GGA SCAN) results for La2ZnSb at its PBEsol-relaxed geometry.

```
data_La2ZnSb
_chemical_formula_sum 'La2 Zn1 Sb1'
_cell_length_a 7.984
_cell_length_b 7.984
_cell_length_c 7.984
_cell_angle_alpha 32.00
_cell_angle_beta 32.00
_cell_angle_gamma 32.00
_symmetry_space_group_name_H-M 'P 1'
_symmetry_Int_Tables_number 1
_symmetry_space_group_name_Hall 'P 1'
loop_
_atom_site_label
_atom_site_fract_x
_atom_site_fract_y
_atom_site_fract_z
La1 0.249 0.249 0.249
La2 0.751 0.751 0.751
Zn1 0.000 0.000 0.000
Sb1 0.500 0.500 0.500
```

Properties
ΔE to the lowest computed polymorph (meV per atom): 132.3
E_form (uncorrected) (meV/atom): -712
Final energy (eV/f.u.): -139.84

=====

DFT (meta-GGA SCAN) results for La6ZnSb15 at its PBEsol-relaxed geometry.

```
data_La6ZnSb15
_chemical_formula_sum 'La6 Zn1 Sb15'
_cell_length_a 12.532
_cell_length_b 12.532
_cell_length_c 4.305
_cell_angle_alpha 99.88
_cell_angle_beta 99.88
_cell_angle_gamma 101.16
_symmetry_space_group_name_H-M 'P 1'
_symmetry_Int_Tables_number 1
_symmetry_space_group_name_Hall 'P 1'
loop_
_atom_site_label
_atom_site_fract_x
_atom_site_fract_y
_atom_site_fract_z
La1 0.133 0.867 0.000
La2 0.193 0.541 0.867
La3 0.541 0.193 0.867
La4 0.590 0.862 0.726
La5 0.862 0.590 0.726
La6 0.867 0.133 0.000
Zn1 0.121 0.121 0.119
Sb1 0.012 0.012 0.511
Sb2 0.065 0.663 0.364
Sb3 0.118 0.334 0.226
Sb4 0.290 0.290 0.788
Sb5 0.334 0.118 0.226
Sb6 0.349 0.950 0.649
Sb7 0.376 0.784 0.081
Sb8 0.405 0.621 0.513
Sb9 0.480 0.480 0.981
Sb10 0.621 0.405 0.513
Sb11 0.663 0.065 0.364
Sb12 0.715 0.715 0.215
Sb13 0.784 0.376 0.081
Sb14 0.853 0.853 0.853
Sb15 0.950 0.349 0.649
```

Properties
E_form (uncorrected) (meV/atom): -833
Final energy (eV/f.u.): -849.39

=====

DFT (meta-GGA SCAN) results for LaZn2Sb at its PBEsol-relaxed geometry.

```
data_LaZn2Sb
_chemical_formula_sum 'La1 Zn2 Sb1'
_cell_length_a 6.056
_cell_length_b 6.056
_cell_length_c 6.056
_cell_angle_alpha 140.09
_cell_angle_beta 138.88
_cell_angle_gamma 58.64
_symmetry_space_group_name_H-M 'P 1'
_symmetry_Int_Tables_number 1
_symmetry_space_group_name_Hall 'P 1'
loop_
_atom_site_label
_atom_site_fract_x
_atom_site_fract_y
_atom_site_fract_z
La1 0.000 0.000 0.000
Zn1 0.587 0.587 0.000
Zn2 0.734 0.234 0.500
Sb1 0.266 0.766 0.500
```

Properties
E_form (uncorrected) (meV/atom): -432
Final energy (eV/f.u.): -109.12

=====

DFT (meta-GGA SCAN) results for LaZn2Sb at its PBEsol-relaxed geometry.

```
data_LaZn2Sb
_chemical_formula_sum 'La1 Zn2 Sb1'
_cell_length_a 5.403
_cell_length_b 5.403
_cell_length_c 5.403
_cell_angle_alpha 130.18
_cell_angle_beta 130.18
_cell_angle_gamma 73.12
_symmetry_space_group_name_H-M 'P 1'
_symmetry_Int_Tables_number 1
_symmetry_space_group_name_Hall 'P 1'
loop_
_atom_site_label
_atom_site_fract_x
_atom_site_fract_y
_atom_site_fract_z
La1 0.000 0.000 0.000
Zn1 0.250 0.750 0.500
Zn2 0.750 0.250 0.500
Sb1 0.500 0.500 0.000
```

Properties
E_form (uncorrected) (meV/atom): -360
Final energy (eV/f.u.): -108.83

=====

DFT (meta-GGA SCAN) results for LaZn2Sb at its PBEsol-relaxed geometry.

```
data_LaZn2Sb
_chemical_formula_sum 'La1 Zn2 Sb1'
_cell_length_a 3.401
_cell_length_b 3.887
_cell_length_c 6.766
_cell_angle_alpha 90.00
_cell_angle_beta 90.00
_cell_angle_gamma 90.00
_symmetry_space_group_name_H-M 'P 1'
_symmetry_Int_Tables_number 1
_symmetry_space_group_name_Hall 'P 1'
loop_
_atom_site_label
_atom_site_fract_x
_atom_site_fract_y
_atom_site_fract_z
La1 0.000 0.000 0.000
Zn1 0.500 0.500 0.290
Zn2 0.500 0.500 0.710
Sb1 0.000 0.000 0.500
```

Properties
E_form (uncorrected) (meV/atom): -277
Final energy (eV/f.u.): -108.50

=====

DFT (meta-GGA SCAN) results for LaZn2Sb at its PBEsol-relaxed geometry.

```
data_LaZn2Sb
_chemical_formula_sum 'La1 Zn2 Sb1'
_cell_length_a 3.652
_cell_length_b 3.652
_cell_length_c 6.926
_cell_angle_alpha 90.00
_cell_angle_beta 90.00
_cell_angle_gamma 99.11
_symmetry_space_group_name_H-M 'P 1'
_symmetry_Int_Tables_number 1
_symmetry_space_group_name_Hall 'P 1'
loop_
_atom_site_label
_atom_site_fract_x
_atom_site_fract_y
_atom_site_fract_z
La1 0.000 0.000 0.000
Zn1 0.000 0.000 0.467
Zn2 0.500 0.500 0.299
Sb1 0.500 0.500 0.700
```

Properties
E_form (uncorrected) (meV/atom): -315
Final energy (eV/f.u.): -108.66

=====

no.,magnetic moment (μB/atom)
1,0.002
2,0.000
3,0.002
4,0.000
5,0.084
6,0.000